The following is a DFT calculation (PBE) of an optimized crystal structure of ScPaCuIr.

Unit cell a=4.7696 b=4.7696 c=4.7696 alpha=60.00 beta=60.00 gamma=60.00
Atoms (fractional coordinates):
Sc (0.0000, 0.0000, 0.0000)
Pa (0.5000, 0.5000, 0.5000)
Cu (0.2500, 0.2500, 0.2500)
Ir (0.7500, 0.7500, 0.7500)

## Properties
Total moment ... 0.01 μB per formula unit
Energy ... -30.473 eV/cell
Calculated formation energy ... -422 meV/atom